Record 1
Crystalline Nd3Ag2Ru at its relaxed geometry, computed with PBE.

Properties
Energy above the most stable polymorph in this dataset (eV/f.u.): 0.81
Space-group type: C2/c
Total energy (eV/atom): -4.985
Calculated formation energy (eV/atom): -0.104

Unit cell a=5.9789 b=7.9823 c=7.9021 alpha=104.53 beta=112.23 gamma=90.00
Sites, in units of the cell vectors:
Nd 0.5015 0.2500 0.0000
Nd 0.4985 0.7500 0.0000
Nd 0.1355 0.0675 0.2741
Nd 0.8615 0.4325 0.7259
Nd 0.1385 0.5675 0.2741
Nd 0.8645 0.9325 0.7259
Ag 0.6845 0.5926 0.3654
Ag 0.6809 0.0926 0.3654
Ag 0.3191 0.9074 0.6346
Ag 0.3155 0.4074 0.6346
Ru 0.9980 0.7500 0.0000
Ru 0.0020 0.2500 0.0000

Record 2
Crystalline SbCF2 at its relaxed geometry, computed with PBE.

Properties
Energy above the most stable polymorph in this dataset (eV/f.u.): 0.00
Space-group type: Fm-3m
Total energy (eV/atom): -3.801
ΔE_f (raw) (eV per atom): 0.471

Unit cell a=4.1783 b=4.1783 c=4.1783 alpha=60.00 beta=60.00 gamma=60.00
Each line ends with the local moment (μB).
Sites, in units of the cell vectors:
Sb 0.5000 0.5000 0.5000  0.15
C 0.0000 0.0000 0.0000  0.95
F 0.2500 0.2500 0.2500  0.16
F 0.7500 0.7500 0.7500  0.16

Record 3
Crystalline YFe2 at its relaxed geometry, computed with PBE.

Properties
Space-group type: I4_1/amd
Total energy (eV/atom): -7.714
Calculated formation energy (eV/atom): 0.083

Unit cell a=7.1088 b=7.1088 c=7.1088 alpha=147.64 beta=147.64 gamma=46.42
Each line ends with the local moment (μB).
Sites, in units of the cell vectors:
Y 0.0000 0.0000 0.0000  -0.09
Y 0.7500 0.2500 0.5000  -0.09
Fe 0.3333 0.8333 0.5000  0.66
Fe 0.1667 0.6667 0.5000  0.66
Fe 0.5833 0.5833 0.0000  0.66
Fe 0.4167 0.4167 0.0000  0.66

Record 4
Crystalline Tb2PmNd at its relaxed geometry, computed with PBE.

Properties
Energy above the most stable polymorph in this dataset (eV/f.u.): 0.03
Space-group type: P4/mmm
Total energy (eV/atom): -4.677
Calculated formation energy (eV/atom): 0.018

Unit cell a=5.0886 b=5.1167 c=5.1167 alpha=90.00 beta=90.00 gamma=90.00
Sites, in units of the cell vectors:
Nd 0.5000 0.0000 0.0000
Tb 0.0000 0.0000 0.5000
Tb 0.0000 0.5000 0.0000
Pm 0.5000 0.5000 0.5000

Record 5
Crystalline YPaBe17 at its relaxed geometry, computed with PBE.

Properties
Space-group type: R3m
Total energy (eV/atom): -4.284
Calculated formation energy (eV/atom): -0.110

Unit cell a=5.8484 b=5.8484 c=5.8484 alpha=82.78 beta=82.78 gamma=82.78
Sites, in units of the cell vectors:
Y 0.6610 0.6610 0.6610
Pa 0.3398 0.3398 0.3398
Be 0.2769 0.9999 0.7218
Be 0.7218 0.2769 0.9999
Be 0.9999 0.7218 0.2769
Be 0.2769 0.7218 0.9999
Be 0.9999 0.2769 0.7218
Be 0.7218 0.9999 0.2769
Be 0.3375 0.8424 0.3375
Be 0.3375 0.3375 0.8424
Be 0.8424 0.3375 0.3375
Be 0.6629 0.1557 0.6629
Be 0.6629 0.6629 0.1557
Be 0.1557 0.6629 0.6629
Be 0.0019 0.4981 0.0019
Be 0.0019 0.0019 0.4981
Be 0.4981 0.0019 0.0019
Be 0.9060 0.9060 0.9060
Be 0.0953 0.0953 0.0953

Record 6
Crystalline NdBiTe3 at its relaxed geometry, computed with PBE.

Properties
Space-group type: C2/m
Total energy (eV/atom): -4.342
ΔE_f (raw) (eV per atom): -0.727

Unit cell a=4.5648 b=8.5438 c=9.6751 alpha=96.86 beta=103.65 gamma=90.00
Sites, in units of the cell vectors:
Nd 0.7917 0.7567 0.5834
Nd 0.2083 0.2433 0.4166
Bi 0.5595 0.6970 0.1190
Bi 0.4405 0.3030 0.8810
Te 0.9668 0.7832 0.9336
Te 0.0332 0.2168 0.0664
Te 0.3361 0.0093 0.6723
Te 0.6639 0.9907 0.3277
Te 0.1823 0.6068 0.3645
Te 0.8177 0.3932 0.6355

Record 7
Crystalline InNi2Os at its relaxed geometry, computed with PBE.

Properties
Space-group type: F-43m
Total energy (eV/atom): -6.009
Calculated formation energy (eV/atom): 0.374

Unit cell a=4.3319 b=4.3319 c=4.3319 alpha=60.00 beta=60.00 gamma=60.00
Each line ends with the local moment (μB).
Sites, in units of the cell vectors:
In 0.5000 0.5000 0.5000  0.00
Ni 0.0000 0.0000 0.0000  0.79
Ni 0.7500 0.7500 0.7500  0.41
Os 0.2500 0.2500 0.2500  0.92

Record 8
Crystalline Tb3Tm4Tl4 at its relaxed geometry, computed with PBE.

Properties
Space-group type: Immm
Total energy (eV/atom): -3.963
Calculated formation energy (eV/atom): -0.213

Unit cell a=3.7219 b=9.5904 c=10.4014 alpha=117.45 beta=100.31 gamma=90.00
Each line ends with the local moment (μB).
Sites, in units of the cell vectors:
Tb 0.1003 0.1003 0.2006  0.15
Tb 0.8997 0.8997 0.7994  0.15
Tb 0.0000 0.5000 0.0000  0.07
Tm 0.3339 0.1354 0.6677  0.20
Tm 0.6661 0.4677 0.3323  0.20
Tm 0.6661 0.8646 0.3323  0.20
Tm 0.3339 0.5323 0.6677  0.20
Tl 0.2583 0.7583 0.5165  0.00
Tl 0.7417 0.2417 0.4835  0.00
Tl 0.5000 0.7789 0.0000  0.00
Tl 0.5000 0.2211 0.0000  0.00